Entry 1:
The following is a PBE calculation of a relaxed structure of ZnPt3O4, from Alexandria via LeMat-Bulk.

Output
**Energy relative to the elements, uncorrected**: -425.2 meV per atom
**Space group**: Pm-3n
**Total moment**: 0.00 μB/cell

a b c (Å): 5.8103 5.8103 5.8103
angles (deg): 90.00 90.00 90.00
Sites, in units of the cell vectors:
Zn  0.0000  0.0000  0.0000
Zn  0.5000  0.5000  0.5000
Pt  0.0000  0.2500  0.5000
Pt  0.0000  0.7500  0.5000
Pt  0.2500  0.5000  0.0000
Pt  0.5000  0.0000  0.2500
Pt  0.5000  0.0000  0.7500
Pt  0.7500  0.5000  0.0000
O  0.2500  0.2500  0.2500
O  0.2500  0.2500  0.7500
O  0.2500  0.7500  0.2500
O  0.2500  0.7500  0.7500
O  0.7500  0.2500  0.2500
O  0.7500  0.2500  0.7500
O  0.7500  0.7500  0.2500
O  0.7500  0.7500  0.7500

***

Entry 2:
The following is a PBE calculation of a relaxed structure of Th3SbOsSe, from Alexandria via LeMat-Bulk.

Output
**Energy relative to the elements, uncorrected**: -771.6 meV per atom
**Space group**: P2_1/m
**Total moment**: 0.00 μB/cell

a b c (Å): 8.1477 4.3105 10.2074
angles (deg): 90.00 112.74 90.00
Sites, in units of the cell vectors:
Th  0.0224  0.2500  0.3584
Th  0.2036  0.2500  0.9842
Th  0.4178  0.7500  0.6045
Th  0.5821  0.2500  0.3955
Th  0.7964  0.7500  0.0158
Th  0.9776  0.7500  0.6416
Sb  0.2391  0.7500  0.2309
Sb  0.7610  0.2500  0.7691
Os  0.2245  0.2500  0.6654
Os  0.7755  0.7500  0.3346
Se  0.3727  0.7500  0.8748
Se  0.6273  0.2500  0.1252

***

Entry 3:
The following is a PBE calculation of a relaxed structure of KCu3Sb3, from Alexandria via LeMat-Bulk.

Output
**Energy relative to the elements, uncorrected**: 20.0 meV per atom
**Excess energy over the best structure of this formula in the dataset**: 127 meV/atom
**Space group**: Pm-3n
**Total moment**: 0.00 μB/cell

a b c (Å): 7.2396 7.2396 7.2396
angles (deg): 90.00 90.00 90.00
Sites, in units of the cell vectors:
K  0.0000  0.0000  0.0000
K  0.5000  0.5000  0.5000
Cu  0.0000  0.2500  0.5000
Cu  0.0000  0.7500  0.5000
Cu  0.2500  0.5000  0.0000
Cu  0.5000  0.0000  0.2500
Cu  0.5000  0.0000  0.7500
Cu  0.7500  0.5000  0.0000
Sb  0.0000  0.5000  0.2500
Sb  0.0000  0.5000  0.7500
Sb  0.2500  0.0000  0.5000
Sb  0.5000  0.2500  0.0000
Sb  0.5000  0.7500  0.0000
Sb  0.7500  0.0000  0.5000

***

Entry 4:
The following is a PBE calculation of a relaxed structure of BaCa2TeN, from Alexandria via LeMat-Bulk.

Output
**Energy relative to the elements, uncorrected**: -944.3 meV per atom
**Space group**: P4/mmm
**Total moment**: 0.00 μB/cell

a b c (Å): 4.9189 4.9189 5.7633
angles (deg): 90.00 90.00 90.00
Sites, in units of the cell vectors:
Ba  0.0000  0.0000  0.0000
Ca  0.0000  0.5000  0.5000
Ca  0.5000  0.0000  0.5000
Te  0.5000  0.5000  0.0000
N  0.0000  0.0000  0.5000